# GGA-PBE ThHRh, relaxed
# Size of the total moment ... 0.0 μB per formula unit
# V ... 103 Å³ per cell
# Energy relative to the lowest polymorph listed for this composition ... 0.000 eV/atom
# Energy ... -40.3 eV for the cell shown
data_ThHRh
_chemical_formula_sum 'Th2 H2 Rh2'
_cell_length_a 3.898
_cell_length_b 4.300
_cell_length_c 6.444
_cell_angle_alpha 90.00
_cell_angle_beta 107.46
_cell_angle_gamma 90.00
_space_group_name_H-M_alt 'P 1 21 1'
_space_group_IT_number 4
loop_
_space_group_symop_operation_xyz
'x,y,z'
'-x,y+1/2,-z'
loop_
_atom_site_label
_atom_site_fract_x
_atom_site_fract_y
_atom_site_fract_z
Th1 0.126 0.000 0.252
H1 0.302 0.767 0.603
Rh1 0.414 0.014 0.829